! Al2SiMo GGA-PBEsol relaxed; values from VASP
! **ρ**: 5.08 g/cm³
! **SG**: F-43m (216)
! **Calculated total energy**: -6.24 eV per atom
! **E_form (uncorrected)**: 0.19 eV/atom
&SYSTEM
  ibrav = 0, nat = 4, ntyp = 3
/
ATOMIC_SPECIES
Si 28.09 Si.upf
Al 26.98 Al.upf
Mo 95.94 Mo.upf
ATOMIC_POSITIONS angstrom
Si 6.5229 3.7660 2.6630
Al 0.0000 0.0000 0.0000
Mo 4.3486 2.5107 1.7753
Al 2.1743 1.2553 0.8877
CELL_PARAMETERS angstrom
4.3486 0.0000 0.0000
2.1743 3.7660 0.0000
2.1743 1.2553 3.5506